CsHoTe3Pb: optimized geometry, PBE.

abc: 10.215 10.215 10.662
angles: 101.11 101.11 25.78
Atoms (fractional coordinates):
1 Cs 0.849 0.849 0.433
2 Cs 0.151 0.151 0.567
3 Ho 0.170 0.170 0.070
4 Ho 0.830 0.830 0.930
5 Pb 0.505 0.505 0.217
6 Pb 0.495 0.495 0.783
7 Te 0.000 0.000 0.000
8 Te 0.327 0.327 0.126
9 Te 0.663 0.663 0.263
10 Te 0.500 0.500 0.500
11 Te 0.337 0.337 0.737
12 Te 0.673 0.673 0.874

Computed properties:
Its symmetry is C2/m, No. 12. The value obtained for the electronic total energy is -49.0 eV/cell.